Record 1
# LaPrNdDy, optimized geometry, DFT PBE
data_LaPrNdDy
_space_group_name_H-M_alt 'F -4 3 m'
_space_group_IT_number 216
_space_group_name_Hall 'F -4 2 3'
_cell_length_a 8.2633
_cell_length_b 8.2633
_cell_length_c 8.2633
_cell_angle_alpha 90.00
_cell_angle_beta 90.00
_cell_angle_gamma 90.00
loop_
_atom_site_label
_atom_site_type_symbol
_atom_site_fract_x
_atom_site_fract_y
_atom_site_fract_z
La1 La 0.0000 0.0000 0.0000
Pr1 Pr 0.0000 0.0000 0.5000
Nd1 Nd 0.2500 0.2500 0.2500
Dy1 Dy 0.2500 0.2500 0.7500
# **Magnetic moment**: 0.000 μB/f.u.
# **Calculated formation energy**: 0.471 eV per formula unit
# **V**: 564.2 Å³ per cell
# **E_tot**: -4.65 eV/atom
# **DOS(E_F)**: 2.297 states/eV/atom

Record 2
# TaCd2Os, optimized geometry, DFT PBE
data_TaCd2Os
_space_group_name_H-M_alt 'I m m m'
_space_group_IT_number 71
_space_group_name_Hall '-I 2 2'
_cell_length_a 3.2209
_cell_length_b 4.5302
_cell_length_c 9.9000
_cell_angle_alpha 90.00
_cell_angle_beta 90.00
_cell_angle_gamma 90.00
loop_
_atom_site_label
_atom_site_type_symbol
_atom_site_fract_x
_atom_site_fract_y
_atom_site_fract_z
Ta1 Ta 0.0000 0.0000 0.0000
Cd1 Cd 0.0000 0.5000 0.2394
Os1 Os 0.0000 0.0000 0.5000
# **Excess energy over the best structure of this formula in the dataset**: 0.244 eV/atom
# **Magnetic moment**: 0.000 μB/f.u.
# **Calculated formation energy**: 1.433 eV per formula unit
# **V**: 144.5 Å³ per cell
# **E_tot**: -5.87 eV/atom
# **DOS(E_F)**: 0.648 states/eV/atom

Record 3
# Pr2MgPa, optimized geometry, DFT PBE
data_Pr2MgPa
_space_group_name_H-M_alt 'R -3 m'
_space_group_IT_number 166
_space_group_name_Hall '-R 3 2"'
_cell_length_a 3.3044
_cell_length_b 3.3044
_cell_length_c 37.4477
_cell_angle_alpha 90.00
_cell_angle_beta 90.00
_cell_angle_gamma 120.00
loop_
_atom_site_label
_atom_site_type_symbol
_atom_site_fract_x
_atom_site_fract_y
_atom_site_fract_z
Pr1 Pr 0.0000 0.0000 0.0868
Mg1 Mg 0.0000 0.0000 0.5000
Pa1 Pa 0.0000 0.0000 0.0000
# **Excess energy over the best structure of this formula in the dataset**: 0.222 eV/atom
# **Magnetic moment**: 0.000 μB/f.u.
# **Calculated formation energy**: 1.297 eV per formula unit
# **V**: 354.1 Å³ per cell
# **E_tot**: -4.84 eV/atom
# **DOS(E_F)**: 1.695 states/eV/atom

Record 4
# CrTc6Mo2H, optimized geometry, DFT PBE
data_CrTc6Mo2H
_space_group_name_H-M_alt 'C 1 2/m 1'
_space_group_IT_number 12
_space_group_name_Hall '-C 2y'
_cell_length_a 9.8635
_cell_length_b 5.6776
_cell_length_c 6.1759
_cell_angle_alpha 90.00
_cell_angle_beta 122.28
_cell_angle_gamma 90.00
loop_
_atom_site_label
_atom_site_type_symbol
_atom_site_fract_x
_atom_site_fract_y
_atom_site_fract_z
Cr1 Cr 0.0000 0.0000 0.0000
Tc1 Tc 0.0144 0.2548 0.2993
Tc2 Tc 0.2303 0.5000 0.7022
Mo1 Mo 0.2378 0.0000 0.7134
H1 H 0.0000 0.5000 0.5000
# **Magnetic moment**: 0.000 μB/f.u.
# **V**: 292.4 Å³ per cell
# **E_tot**: -9.20 eV/atom
# **DOS(E_F)**: 0.383 states/eV/atom

Record 5
# RbOsRh, optimized geometry, DFT PBE
data_RbOsRh
_space_group_name_H-M_alt 'C m c m'
_space_group_IT_number 63
_space_group_name_Hall '-C 2c 2'
_cell_length_a 4.4787
_cell_length_b 12.6762
_cell_length_c 5.1300
_cell_angle_alpha 90.00
_cell_angle_beta 90.00
_cell_angle_gamma 90.00
loop_
_atom_site_label
_atom_site_type_symbol
_atom_site_fract_x
_atom_site_fract_y
_atom_site_fract_z
Rb1 Rb 0.0000 0.2324 0.2500
Os1 Os 0.0000 0.0255 0.7500
Rh1 Rh 0.0000 0.5000 0.0000
# **Excess energy over the best structure of this formula in the dataset**: 0.225 eV/atom
# **Magnetic moment**: 0.400 μB/f.u.
# **Calculated formation energy**: 2.109 eV per formula unit
# **V**: 291.2 Å³ per cell
# **E_tot**: -5.81 eV/atom
# **DOS(E_F)**: 1.212 states/eV/atom

Record 6
# RbCuAs3, optimized geometry, DFT PBE
data_RbCuAs3
_space_group_name_H-M_alt 'P m -3 m'
_space_group_IT_number 221
_space_group_name_Hall '-P 4 2 3'
_cell_length_a 4.9490
_cell_length_b 4.9490
_cell_length_c 4.9490
_cell_angle_alpha 90.00
_cell_angle_beta 90.00
_cell_angle_gamma 90.00
loop_
_atom_site_label
_atom_site_type_symbol
_atom_site_fract_x
_atom_site_fract_y
_atom_site_fract_z
Rb1 Rb 0.0000 0.0000 0.0000
Cu1 Cu 0.5000 0.5000 0.5000
As1 As 0.0000 0.5000 0.5000
# **Magnetic moment**: 0.000 μB/f.u.
# **Calculated formation energy**: 1.503 eV per formula unit
# **V**: 121.2 Å³ per cell
# **E_tot**: -3.50 eV/atom
# **DOS(E_F)**: 0.630 states/eV/atom

Record 7
# CePmNiGe, optimized geometry, DFT PBE
data_CePmNiGe
_space_group_name_H-M_alt 'F -4 3 m'
_space_group_IT_number 216
_space_group_name_Hall 'F -4 2 3'
_cell_length_a 7.1443
_cell_length_b 7.1443
_cell_length_c 7.1443
_cell_angle_alpha 90.00
_cell_angle_beta 90.00
_cell_angle_gamma 90.00
loop_
_atom_site_label
_atom_site_type_symbol
_atom_site_fract_x
_atom_site_fract_y
_atom_site_fract_z
Ce1 Ce 0.0000 0.0000 0.0000
Pm1 Pm 0.0000 0.0000 0.5000
Ni1 Ni 0.2500 0.2500 0.2500
Ge1 Ge 0.2500 0.2500 0.7500
# **Magnetic moment**: 1.079 μB/f.u.
# **Calculated formation energy**: -1.569 eV per formula unit
# **V**: 364.7 Å³ per cell
# **E_tot**: -5.66 eV/atom
# **DOS(E_F)**: 2.142 states/eV/atom

Record 8
# Cs2ThNpSe4, optimized geometry, DFT PBE
data_Cs2ThNpSe4
_space_group_name_H-M_alt 'P 1 2/m 1'
_space_group_IT_number 10
_space_group_name_Hall '-P 2y'
_cell_length_a 7.4952
_cell_length_b 4.3390
_cell_length_c 8.8118
_cell_angle_alpha 90.00
_cell_angle_beta 106.55
_cell_angle_gamma 90.00
loop_
_atom_site_label
_atom_site_type_symbol
_atom_site_fract_x
_atom_site_fract_y
_atom_site_fract_z
Cs1 Cs 0.0000 0.0000 0.0000
Cs2 Cs 0.5000 0.5000 0.0000
Th1 Th 0.0000 0.5000 0.5000
Np1 Np 0.5000 0.0000 0.5000
Se1 Se 0.2287 0.0000 0.6918
Se2 Se 0.2689 0.5000 0.3119
# **Magnetic moment**: 4.853 μB/f.u.
# **V**: 274.7 Å³ per cell
# **E_tot**: -5.89 eV/atom
# **DOS(E_F)**: 1.347 states/eV/atom
# **E_form (uncorrected)**: -1.391 eV per atom

Question: Among the records above, which one has the lowest DOS(E_F)?
Answer: CrTc6Mo2H

What did the fifth record say?
# RbOsRh, optimized geometry, DFT PBE
data_RbOsRh
_space_group_name_H-M_alt 'C m c m'
_space_group_IT_number 63
_space_group_name_Hall '-C 2c 2'
_cell_length_a 4.4787
_cell_length_b 12.6762
_cell_length_c 5.1300
_cell_angle_alpha 90.00
_cell_angle_beta 90.00
_cell_angle_gamma 90.00
loop_
_atom_site_label
_atom_site_type_symbol
_atom_site_fract_x
_atom_site_fract_y
_atom_site_fract_z
Rb1 Rb 0.0000 0.2324 0.2500
Os1 Os 0.0000 0.0255 0.7500
Rh1 Rh 0.0000 0.5000 0.0000
# **Excess energy over the best structure of this formula in the dataset**: 0.225 eV/atom
# **Magnetic moment**: 0.400 μB/f.u.
# **Calculated formation energy**: 2.109 eV per formula unit
# **V**: 291.2 Å³ per cell
# **E_tot**: -5.81 eV/atom
# **DOS(E_F)**: 1.212 states/eV/atom

Question: What is the magnetic moment in the first record?
Answer: 0.000 μB/f.u.

Question: Number 5 is which compound?
Answer: RbOsRh